# Ba2IF3

Ba2IF3 after structural relaxation (GGA-PBE, Alexandria).

a = 4.465 Å, b = 8.226 Å, c = 10.162 Å
α = 113.37°, β = 90.00°, γ = 105.75°
Atoms (fractional coordinates):
1 I 0.858 0.717 0.918
2 I 0.142 0.283 0.082
3 F 0.981 0.963 0.643
4 F 0.381 0.763 0.316
5 F 0.019 0.037 0.357
6 F 0.673 0.347 0.434
7 F 0.619 0.237 0.684
8 F 0.327 0.653 0.566
9 Ba 0.507 0.014 0.222
10 Ba 0.831 0.662 0.397
11 Ba 0.169 0.338 0.603
12 Ba 0.493 0.986 0.778

***

# TaTl2As2S6

TaTl2As2S6 after structural relaxation (GGA-PBE, Alexandria).

a = 6.932 Å, b = 6.143 Å, c = 7.995 Å
α = 101.09°, β = 90.00°, γ = 124.35°
Last column: magnetic moment on the atom in μB.
Atoms (fractional coordinates):
1 As 0.110 0.220 0.248  0.01
2 As 0.890 0.780 0.752  0.01
3 Tl 0.309 0.619 0.898  0.00
4 Tl 0.691 0.381 0.102  0.00
5 S 0.260 0.521 0.502  0.00
6 S 0.740 0.479 0.498  0.00
7 S 0.224 0.931 0.264  0.00
8 S 0.707 0.931 0.264  0.00
9 S 0.776 0.069 0.736  0.00
10 S 0.293 0.069 0.736  0.00
11 Ta 0.500 0.000 0.500  0.10

***

no.,uncorrected formation energy (eV/atom)
1,-3.334
2,-0.360